(1)
First-principles (GGA-PBE) data for a geometry-optimized VFe2Pd structure, as listed in Alexandria.

Output
- symmetry = P4/mmm, No. 123
- crystal system = tetragonal
- energy of formation from the pure elements (eV/f.u.) = -0.13

abc: 3.034 3.034 5.647
angles: 90.00 90.00 90.00
Element x y z (fractional)
Pd 0.500 0.500 0.000
Fe 0.000 0.000 0.725
Fe 0.000 0.000 0.275
V 0.500 0.500 0.500



(2)
First-principles (GGA-PBE) data for a geometry-optimized HfTe structure, as listed in Alexandria.

Output
- energy relative to the elements, uncorrected (eV per atom) = -0.53
- symmetry = Pm-3m, No. 221
- crystal system = cubic

abc: 3.534 3.534 3.534
angles: 90.00 90.00 90.00
Element x y z (fractional)
Te 0.500 0.500 0.500
Hf 0.000 0.000 0.000



(3)
First-principles (GGA-PBE) data for a geometry-optimized SrSI2 structure, as listed in Alexandria.

Output
- polymorph energy (0 for the lowest one) (eV/atom) = 0.026
- energy relative to the elements, uncorrected (eV per atom) = -0.55
- symmetry = I-42d, No. 122
- crystal system = tetragonal

abc: 5.385 5.385 11.103
angles: 75.97 75.97 90.00
Element x y z (fractional)
S 0.250 0.750 0.500
S 0.500 0.500 0.000
I 0.375 0.394 0.750
I 0.875 0.856 0.750
I 0.606 0.125 0.250
I 0.144 0.625 0.250
Sr 0.000 0.000 0.000
Sr 0.750 0.250 0.500



(4)
First-principles (GGA-PBE) data for a geometry-optimized InTc structure, as listed in Alexandria.

Output
- symmetry = Pmma, No. 51
- crystal system = orthorhombic
- energy of formation from the pure elements (eV/f.u.) = 0.71

abc: 3.168 4.565 4.892
angles: 90.00 90.00 90.00
Element x y z (fractional)
Tc 0.500 0.000 0.515
Tc 0.500 0.500 0.819
In 0.000 0.500 0.349
In 0.000 0.000 0.985